Entry from Alexandria: an optimized crystal structure of NaMnSb2O8 (PBE+U).

For the density of states at the Fermi level, the calculation gives 0.637 states/eV per atom. As for the final energy: -68.7 eV for the cell shown. For the total magnetization, the calculation gives 4.0 μB per cell.

The structure belongs to space group P-3 (No. 147); the cell edges are 5.4135, 5.4135 and 6.5702 Å and the angles 90.00°, 90.00° and 120.00°. Symmetry generates all atoms from Na at (0.0000, 0.0000, 0.0000), Mn at (0.0000, 0.0000, 0.5000), Sb at (0.3333, 0.6667, 0.4171), O at (0.0646, 0.3501, 0.6331) and O at (0.3333, 0.6667, 0.1228).